(1)
# PmSmGaGe, optimized geometry, DFT PBE
data_PmSmGaGe
_chemical_formula_sum 'Pm4 Sm4 Ga4 Ge4'
_cell_length_a 7.3161
_cell_length_b 7.3161
_cell_length_c 7.3161
_cell_angle_alpha 90.00
_cell_angle_beta 90.00
_cell_angle_gamma 90.00
_space_group_name_H-M_alt 'F -4 3 m'
_space_group_IT_number 216
_space_group_name_Hall 'F -4 2 3'
loop_
_atom_site_label
_atom_site_fract_x
_atom_site_fract_y
_atom_site_fract_z
Pm1 0.0000 0.0000 0.0000
Sm1 0.0000 0.0000 0.5000
Ga1 0.2500 0.2500 0.2500
Ge1 0.2500 0.2500 0.7500
# - DOS(E_F) (states/eV per atom) = 0.562
# - energy (eV per atom) = -4.8552
# - DFT formation energy (kJ/mol of formula units) = -222.6

=====

(2)
# Fe2SbPb, optimized geometry, DFT PBE
data_Fe2SbPb
_chemical_formula_sum 'Fe2 Sb1 Pb1'
_cell_length_a 4.7000
_cell_length_b 4.7000
_cell_length_c 3.3086
_cell_angle_alpha 90.00
_cell_angle_beta 90.00
_cell_angle_gamma 90.00
_space_group_name_H-M_alt 'P 4/m m m'
_space_group_IT_number 123
_space_group_name_Hall '-P 4 2'
loop_
_atom_site_label
_atom_site_fract_x
_atom_site_fract_y
_atom_site_fract_z
Fe1 0.0000 0.5000 0.0000
Sb1 0.0000 0.0000 0.5000
Pb1 0.5000 0.5000 0.5000
# - DOS(E_F) (states/eV per atom) = 1.246
# - energy (eV per atom) = -5.6479

=====

(3)
# NdIn2Ni6, optimized geometry, DFT PBE
data_NdIn2Ni6
_chemical_formula_sum 'Nd2 In4 Ni12'
_cell_length_a 3.6976
_cell_length_b 6.4422
_cell_length_c 12.3477
_cell_angle_alpha 90.00
_cell_angle_beta 90.00
_cell_angle_gamma 90.00
_space_group_name_H-M_alt 'I m m m'
_space_group_IT_number 71
_space_group_name_Hall '-I 2 2'
loop_
_atom_site_label
_atom_site_fract_x
_atom_site_fract_y
_atom_site_fract_z
Nd1 0.0000 0.0000 0.0000
In1 0.0000 0.5000 0.1320
Ni1 0.0000 0.1789 0.5000
Ni2 0.0000 0.3035 0.3150
# - DOS(E_F) (states/eV per atom) = 1.532
# - energy (eV per atom) = -4.9758
# - DFT formation energy (kJ/mol of formula units) = 14.5